Record 1
A relaxed structure of GaTe2W. Source: Alexandria via LeMat-Bulk, functional GGA-PBE.

a = 11.627 Å, b = 11.627 Å, c = 11.627 Å
α = 15.23°, β = 15.23°, γ = 15.23°
Element x y z (fractional)
Ga 0.000 0.000 0.000
Te 0.420 0.420 0.420
Te 0.580 0.580 0.580
W 0.500 0.500 0.500

Calculated values
Density of states at the Fermi level ... 0.94 states/eV per atom
Final energy ... -19.3 eV per cell
Space group ... No. 166
Volume ... 23.629 Å³ per atom


Record 2
A relaxed structure of GaTe3W. Source: Alexandria via LeMat-Bulk, functional GGA-PBE.

a = 5.371 Å, b = 5.371 Å, c = 5.371 Å
α = 90.00°, β = 90.00°, γ = 90.00°
Element x y z (fractional)
Ga 0.000 0.000 0.000
Te 0.000 0.500 0.500
Te 0.500 0.000 0.500
Te 0.500 0.500 0.000
W 0.500 0.500 0.500

Calculated values
Density of states at the Fermi level ... 1.00 states/eV per atom
Energy above the lowest structure with this stoichiometry ... 0.000 eV/atom
Final energy ... -22.9 eV per cell
Space group ... No. 221
Volume ... 30.981 Å³ per atom


Record 3
A relaxed structure of GaTeW3. Source: Alexandria via LeMat-Bulk, functional GGA-PBE.

a = 4.882 Å, b = 4.882 Å, c = 4.882 Å
α = 90.00°, β = 90.00°, γ = 90.00°
Element x y z (fractional)
Ga 0.000 0.000 0.000
Te 0.500 0.500 0.500
W 0.000 0.500 0.500
W 0.500 0.000 0.500
W 0.500 0.500 0.000

Calculated values
Density of states at the Fermi level ... 1.15 states/eV per atom
Energy above the lowest structure with this stoichiometry ... 0.548 eV/atom
Final energy ... -32.6 eV per cell
Space group ... No. 221
Volume ... 23.267 Å³ per atom


Record 4
A relaxed structure of Ga3TeW. Source: Alexandria via LeMat-Bulk, functional GGA-PBE.

a = 5.043 Å, b = 5.043 Å, c = 5.043 Å
α = 90.00°, β = 90.00°, γ = 90.00°
Element x y z (fractional)
Ga 0.000 0.000 0.500
Ga 0.000 0.500 0.000
Ga 0.500 0.000 0.000
Te 0.500 0.500 0.500
W 0.000 0.000 0.000

Calculated values
Density of states at the Fermi level ... 1.13 states/eV per atom
Energy above the lowest structure with this stoichiometry ... 0.000 eV/atom
Final energy ... -21.8 eV per cell
Space group ... No. 221
Volume ... 25.646 Å³ per atom


Record 5
A relaxed structure of GaTe2W. Source: Alexandria via LeMat-Bulk, functional GGA-PBE.

a = 10.382 Å, b = 10.382 Å, c = 10.382 Å
α = 19.09°, β = 19.09°, γ = 19.09°
Element x y z (fractional)
Ga 0.000 0.000 0.000
Te 0.104 0.104 0.104
Te 0.896 0.896 0.896
W 0.500 0.500 0.500

Calculated values
Density of states at the Fermi level ... 0.73 states/eV per atom
Final energy ... -21.3 eV per cell
Space group ... No. 166
Volume ... 26.141 Å³ per atom


Record 6
A relaxed structure of YGa2Te4. Source: Alexandria via LeMat-Bulk, functional GGA-PBE.

a = 6.751 Å, b = 6.751 Å, c = 6.751 Å
α = 105.54°, β = 105.54°, γ = 117.66°
Element x y z (fractional)
Y 0.000 0.000 0.000
Ga 0.250 0.750 0.500
Ga 0.750 0.250 0.500
Te 0.189 0.676 0.865
Te 0.324 0.189 0.513
Te 0.676 0.811 0.487
Te 0.811 0.324 0.135

Calculated values
Density of states at the Fermi level ... 0.49 states/eV per atom
Final energy ... -28.5 eV per cell
Space group ... No. 87
Volume ... 33.313 Å³ per atom